Record 1
La2Pr3Pb4: optimized geometry, GGA-PBE.

a = 8.7992 Å, b = 8.7614 Å, c = 8.4704 Å
α = 90.00°, β = 111.52°, γ = 90.00°
Last column: nearest neighbours and their distance in Å.
Space group P2_1/c (No. 14)
Asymmetric unit:
La (0.1953, 0.1816, 0.0603) [4 per cell]  5 Pb 3.31-3.62
Pr (0.2420, 0.6626, 0.2341) [4 per cell]  6 Pb 3.20-3.39
Pr (0.5000, 0.0000, 0.5000) [2 per cell]  6 Pb 3.35-3.41
Pb (0.0855, 0.5368, 0.8275) [4 per cell]  4 Pr 3.20-3.41, 2 La 3.37-3.54
Pb (0.4889, 0.1378, 0.8645) [4 per cell]  1 Pb 3.29, 5 Pr 3.29-3.36, 2 La 3.31-3.57

Summary:
- uncorrected energy (eV per cell) = -89.13
- energy relative to the lowest polymorph listed for this composition (meV/atom) = 0
- calculated formation energy (eV/atom) = -0.615

Record 2
Cs2PrSiS4: optimized geometry, GGA-PBE.

a = 6.7522 Å, b = 14.5320 Å, c = 26.2059 Å
α = 90.00°, β = 90.00°, γ = 90.00°
Last column: nearest neighbours and their distance in Å.
Space group Fddd (No. 70, origin choice 2)
Asymmetric unit:
Cs (0.1250, 0.1250, 0.3056) [16 per cell]  6 S 3.84-4.29
Pr (0.1250, 0.1250, 0.1250) [8 per cell]  4 S 2.73
Si (0.1250, 0.1250, 0.6250) [8 per cell]  4 S 2.18
S (0.0654, 0.2874, 0.8288) [32 per cell]  1 Si 2.18

Summary:
- uncorrected energy (eV per cell) = -299.74
- raw formation energy (meV/atom) = -1131

Record 3
CaSnIr3: optimized geometry, GGA-PBE.

a = 4.8021 Å, b = 4.8021 Å, c = 4.8021 Å
α = 90.00°, β = 90.00°, γ = 90.00°
Last column: nearest neighbours and their distance in Å.
Space group Pm-3m (No. 221)
Asymmetric unit:
Ca (0.0000, 0.0000, 0.0000) [1 per cell]  6 Ir 2.40
Sn (0.5000, 0.5000, 0.5000) [1 per cell]  12 Ir 3.40
Ir (0.0000, 0.0000, 0.5000) [3 per cell]  2 Ca 2.40

Summary:
- uncorrected energy (eV per cell) = -22.90
- energy relative to the lowest polymorph listed for this composition (meV/atom) = 991
- calculated formation energy (eV/atom) = 1.937

Record 4
TmLu2Sc: optimized geometry, GGA-PBE.

a = 4.8325 Å, b = 4.8325 Å, c = 4.8383 Å
α = 90.00°, β = 90.00°, γ = 90.00°
Last column: nearest neighbours and their distance in Å.
Space group P4/mmm (No. 123)
Asymmetric unit:
Tm (0.0000, 0.0000, 0.0000) [1 per cell]  4 Sc 3.42, 8 Lu 3.42
Lu (0.0000, 0.5000, 0.5000) [2 per cell]  4 Lu 3.42, 4 Sc 3.42, 4 Tm 3.42
Sc (0.5000, 0.5000, 0.0000) [1 per cell]  4 Tm 3.42, 8 Lu 3.42

Summary:
- uncorrected energy (eV per cell) = -19.65
- energy relative to the lowest polymorph listed for this composition (meV/atom) = 3
- calculated formation energy (eV/atom) = 0.049

Record 5
Pm4NdDy4: optimized geometry, GGA-PBE.

a = 16.9823 Å, b = 5.6499 Å, c = 6.8247 Å
α = 90.00°, β = 112.96°, γ = 90.00°
Last column: nearest neighbours and their distance in Å.
Space group C2/m (No. 12)
Asymmetric unit:
Pm (0.1343, 0.0000, 0.4620) [4 per cell]  6 Dy 3.38-3.78, 3 Pm 3.53-3.54, 2 Nd 3.70
Pm (0.2187, 0.5000, 0.7884) [4 per cell]  2 Dy 3.36-3.57, 1 Nd 3.46, 3 Pm 3.53-3.54
Nd (0.0000, 0.5000, 0.5000) [2 per cell]  6 Pm 3.46-3.70, 6 Dy 3.63-3.72
Dy (0.0735, 0.0000, 0.8824) [4 per cell]  4 Pm 3.36-3.68, 3 Dy 3.41-3.46, 2 Nd 3.72
Dy (0.1300, 0.5000, 0.1848) [4 per cell]  6 Pm 3.38-3.78, 2 Dy 3.41, 1 Nd 3.63

Summary:
- uncorrected energy (eV per cell) = -82.54
- energy relative to the lowest polymorph listed for this composition (meV/atom) = 85
- calculated formation energy (eV/atom) = 0.101

Record 6
Si2As: optimized geometry, GGA-PBE.

a = 3.6427 Å, b = 3.6427 Å, c = 4.5493 Å
α = 90.00°, β = 90.00°, γ = 120.00°
Last column: nearest neighbours and their distance in Å.
Space group P-3m1 (No. 164)
Asymmetric unit:
Si (0.3333, 0.6667, 0.3510) [2 per cell]  3 Si 2.50, 3 As 2.64
As (0.0000, 0.0000, 0.0000) [1 per cell]  6 Si 2.64

Summary:
- uncorrected energy (eV per cell) = -14.74
- energy relative to the lowest polymorph listed for this composition (meV/atom) = 92
- raw formation energy (meV/atom) = 251

Record 7
NdEr2: optimized geometry, GGA-PBE.

a = 3.5663 Å, b = 3.5663 Å, c = 15.1292 Å
α = 90.00°, β = 90.00°, γ = 90.00°
Last column: nearest neighbours and their distance in Å.
Space group I4/mmm (No. 139)
Asymmetric unit:
Nd (0.0000, 0.0000, 0.0000) [2 per cell]  4 Nd 3.57, 8 Er 3.59
Er (0.0000, 0.0000, 0.3312) [4 per cell]  8 Er 3.52-3.57, 4 Nd 3.59

Summary:
- uncorrected energy (eV per cell) = -27.64
- energy relative to the lowest polymorph listed for this composition (meV/atom) = 31
- calculated formation energy (eV/atom) = 0.025

Record 8
PmPdIO6: optimized geometry, GGA-PBE.

a = 5.6659 Å, b = 5.6659 Å, c = 4.5885 Å
α = 90.00°, β = 90.00°, γ = 120.00°
Last column: nearest neighbours and their distance in Å.
Space group P312 (No. 149)
Asymmetric unit:
Pm (0.0000, 0.0000, 0.0000) [1 per cell]  6 O 2.32
Pd (0.6667, 0.3333, 0.5000) [1 per cell]  6 O 2.37
I (0.3333, 0.6667, 0.0000) [1 per cell]  6 O 1.93
O (0.0491, 0.3853, 0.2346) [6 per cell]  1 I 1.93

Summary:
- uncorrected energy (eV per cell) = -49.45
- raw formation energy (meV/atom) = -912

Record 9
Cs2RbCdPb: optimized geometry, GGA-PBE.

a = 7.5285 Å, b = 7.5285 Å, c = 5.6359 Å
α = 90.00°, β = 90.00°, γ = 90.00°
Last column: nearest neighbours and their distance in Å.
Space group P4/mmm (No. 123)
Asymmetric unit:
Cs (0.0000, 0.5000, 0.0000) [2 per cell]  2 Cd 3.76
Rb (0.0000, 0.0000, 0.5000) [1 per cell]  8 Cs 4.70
Cd (0.5000, 0.5000, 0.0000) [1 per cell]  2 Pb 2.82
Pb (0.5000, 0.5000, 0.5000) [1 per cell]  2 Cd 2.82

Summary:
- uncorrected energy (eV per cell) = -7.12
- energy relative to the lowest polymorph listed for this composition (meV/atom) = 0
- calculated formation energy (eV/atom) = 0.036

Record 10
LaSeBr2: optimized geometry, GGA-PBE.

a = 4.4244 Å, b = 4.8115 Å, c = 4.9589 Å
α = 90.00°, β = 90.00°, γ = 90.00°
Last column: nearest neighbours and their distance in Å.
Space group Pmmm (No. 47)
Asymmetric unit:
La (0.0000, 0.0000, 0.0000) [1 per cell]  8 Br 3.27-3.45, 4 Se 3.32
Se (0.5000, 0.0000, 0.5000) [1 per cell]  8 Br 3.27-3.45, 4 La 3.32
Br (0.0000, 0.5000, 0.5000) [1 per cell]  4 Se 3.27, 4 Br 3.32, 4 La 3.45
Br (0.5000, 0.5000, 0.0000) [1 per cell]  4 La 3.27, 4 Br 3.32, 4 Se 3.45

Summary:
- uncorrected energy (eV per cell) = -16.45
- energy relative to the lowest polymorph listed for this composition (meV/atom) = 292
- raw formation energy (meV/atom) = -1173

Record 11
Li6ZnGa3: optimized geometry, GGA-PBE.

a = 4.9596 Å, b = 8.0737 Å, c = 8.9889 Å
α = 90.00°, β = 105.21°, γ = 90.00°
Last column: nearest neighbours and their distance in Å.
Space group P2_1/c (No. 14)
Asymmetric unit:
Li (0.0354, 0.1640, 0.0460) [4 per cell]  1 Zn 2.74, 3 Li 2.77-2.99, 5 Ga 2.78-2.93
Li (0.3348, 0.7219, 0.7915) [4 per cell]  3 Li 2.60-2.79, 3 Ga 2.64-2.91
Li (0.3874, 0.1121, 0.3680) [4 per cell]  2 Li 2.60-2.78, 1 Zn 2.67, 1 Ga 2.78
Zn (0.0000, 0.0000, 0.5000) [2 per cell]  2 Ga 2.40, 2 Li 2.67
Ga (0.1618, 0.0805, 0.7654) [4 per cell]  1 Zn 2.40, 1 Ga 2.41, 1 Li 2.64
Ga (0.5000, 0.0000, 0.0000) [2 per cell]  2 Ga 2.41

Summary:
- uncorrected energy (eV per cell) = -47.27
- calculated formation energy (eV/atom) = -0.180

Record 12
Ba2Sn4Pd3Rh: optimized geometry, GGA-PBE.

a = 4.7432 Å, b = 4.7432 Å, c = 11.0032 Å
α = 90.00°, β = 90.00°, γ = 90.00°
Last column: nearest neighbours and their distance in Å.
Space group P-4m2 (No. 115)
Asymmetric unit:
Ba (0.0000, 0.5000, 0.2463) [2 per cell]  2 Rh 3.60, 6 Pd 3.60-3.62, 9 Sn 3.65-3.99
Sn (0.0000, 0.0000, 0.5000) [1 per cell]  4 Pd 2.78
Sn (0.0000, 0.5000, 0.8841) [2 per cell]  2 Rh 2.69, 3 Pd 2.69-2.78
Sn (0.5000, 0.5000, 0.5000) [1 per cell]  4 Pd 2.78
Pd (0.0000, 0.0000, 0.0000) [1 per cell]  4 Sn 2.69
Pd (0.0000, 0.5000, 0.6311) [2 per cell]  5 Sn 2.78
Rh (0.5000, 0.5000, 0.0000) [1 per cell]  4 Sn 2.69

Summary:
- uncorrected energy (eV per cell) = -49.58
- calculated formation energy (eV/atom) = -0.680